## LiSb2Cl (PBE-GGA)

Data for a relaxed structure of LiSb2Cl.

The value obtained for the formation energy (no corrections) is 0.11 eV/f.u. The value obtained for the polymorph energy (0 for the lowest one) is 844 meV per atom. The value obtained for the density of states at the Fermi level is 0.314 states/eV per atom. The final energy comes out at -2.974 eV per atom.

Cell lengths 7.1936, 7.1936, 7.1936 Å; angles 90.00, 90.00, 90.00 degrees
Space group Fm-3m (No. 225)
Inequivalent atoms, fractional coordinates:
Li 0.0000 0.0000 0.0000 (multiplicity 4)
Sb 0.2500 0.2500 0.2500 (multiplicity 8)
Cl 0.0000 0.0000 0.5000 (multiplicity 4)